Below is a relaxed structure of Sc2VRh, with properties calculated at the PBE level.

Cell: 7.303 7.303 5.793 Å, 90.00 90.00 90.00°
Space group I-42d (No. 122)
Unique sites:
Sc (0.218, 0.250, 0.125) (multiplicity 8)
V (0.000, 0.000, 0.500) (multiplicity 4)
Rh (0.000, 0.000, 0.000) (multiplicity 4)

Summary:
ΔE_f = 92 meV per atom
Total magnetization = 2.51 μB/f.u.
E above lowest polymorph = 0.4415 eV/atom
Theoretical density = 5.241 g/cm3